Density functional theory data (PBE) for crystalline ZnAg2Ru at its relaxed geometry.

Geometry as extended XYZ:
```
4
Lattice="-0.928 -1.325 3.506 3.727 0.059 1.009 -0.442 4.010 1.398" Properties=species:S:1:pos:R:3 pbc="T T T"
Ru -0.685 1.343 2.452
Ag 1.399 -0.633 2.258
Ag 0.000 0.000 0.000
Zn 1.643 2.034 1.203
```

Summary:
- ΔE_f: 26.9 kJ per mole of atoms
- Calculated total energy: -3.784 eV/atom